! La3TiRh GGA-PBE relaxed; values from VASP
&SYSTEM
  ibrav = 0, nat = 5, ntyp = 3
/
ATOMIC_SPECIES
Ti 47.87 Ti.upf
Rh 102.91 Rh.upf
La 138.91 La.upf
CELL_PARAMETERS angstrom
-3.242 -0.744 -4.404
4.465 -0.623 -3.183
-0.068 -5.433 0.968
ATOMIC_POSITIONS crystal
Ti 0.500 0.500 0.500
Rh 0.000 0.000 0.000
La 0.000 0.500 0.000
La 0.000 0.000 0.500
La 0.500 0.000 0.000
! Final energy, eV/atom: -5.835
! Calculated volume, Å³ per cell: 168
! Energy of formation from the pure elements, eV per atom: 0.171
! Total magnetic moment, μB per atom: 0.00
! Polymorph energy (0 for the lowest one), kJ/mol of formula units: 0
! Density, g/cm³: 5.61

! LaTiRh2 GGA-PBE relaxed; values from VASP
&SYSTEM
  ibrav = 0, nat = 8, ntyp = 3
/
ATOMIC_SPECIES
Ti 47.87 Ti.upf
Rh 102.91 Rh.upf
La 138.91 La.upf
CELL_PARAMETERS angstrom
7.225 0.000 0.000
0.000 7.225 0.000
3.613 3.613 3.100
ATOMIC_POSITIONS crystal
Ti 0.500 0.500 0.000
Ti 0.250 0.750 0.500
Rh 0.582 0.125 0.250
Rh 0.168 0.625 0.250
Rh 0.375 0.418 0.750
Rh 0.875 0.832 0.750
La 0.000 0.000 0.000
La 0.750 0.250 0.500
! Final energy, eV/atom: -7.248
! Calculated volume, Å³ per cell: 162
! Energy of formation from the pure elements, eV per atom: -0.366
! Total magnetic moment, μB per atom: 0.00
! Density, g/cm³: 8.06

! LaTi3Rh3 GGA-PBE relaxed; values from VASP
&SYSTEM
  ibrav = 0, nat = 14, ntyp = 3
/
ATOMIC_SPECIES
Ti 47.87 Ti.upf
Rh 102.91 Rh.upf
La 138.91 La.upf
CELL_PARAMETERS angstrom
6.826 0.000 0.000
0.000 6.826 0.000
0.000 0.000 6.826
ATOMIC_POSITIONS crystal
Ti 0.250 0.000 0.500
Ti 0.000 0.500 0.250
Ti 0.500 0.750 0.000
Ti 0.750 0.000 0.500
Ti 0.000 0.500 0.750
Ti 0.500 0.250 0.000
Rh 0.000 0.250 0.500
Rh 0.000 0.750 0.500
Rh 0.500 0.000 0.750
Rh 0.750 0.500 0.000
Rh 0.500 0.000 0.250
Rh 0.250 0.500 0.000
La 0.500 0.500 0.500
La 0.000 0.000 0.000
! Final energy, eV/atom: -7.312
! Calculated volume, Å³ per cell: 318
! Energy of formation from the pure elements, eV per atom: -0.074
! Total magnetic moment, μB per atom: 0.20
! Density, g/cm³: 6.17

! La2TiRh GGA-PBE relaxed; values from VASP
&SYSTEM
  ibrav = 0, nat = 8, ntyp = 3
/
ATOMIC_SPECIES
Ti 47.87 Ti.upf
Rh 102.91 Rh.upf
La 138.91 La.upf
CELL_PARAMETERS angstrom
8.148 0.000 0.000
0.000 8.148 0.000
4.074 4.074 3.168
ATOMIC_POSITIONS crystal
Ti 0.500 0.500 0.000
Ti 0.250 0.750 0.500
Rh 0.000 0.000 0.000
Rh 0.750 0.250 0.500
La 0.668 0.125 0.250
La 0.082 0.625 0.250
La 0.375 0.332 0.750
La 0.875 0.918 0.750
! Final energy, eV/atom: -6.185
! Calculated volume, Å³ per cell: 210
! Energy of formation from the pure elements, eV per atom: 0.090
! Total magnetic moment, μB per atom: 0.33
! Polymorph energy (0 for the lowest one), kJ/mol of formula units: 37
! Density, g/cm³: 6.77

- What is the final energy in the first record?
  -5.835 eV/atom

- Look up the density of the third one.
  6.17 g/cm³